1.
PIrS2I | PBE-GGA | relaxed

## Properties
Calculated volume = 105 Å³ per cell
Formation energy (no corrections) = 55 kJ/mol of atoms
DOS(E_F) = 1.03 states/eV per atom
M_tot = 0.00 Bohr magnetons per cell
Energy relative to the lowest polymorph listed for this composition = 0 meV/atom

Cell: 4.819 4.819 4.534 Å, 90.00 90.00 90.00°
Element x y z (fractional)
Ir 0.000 0.000 0.000
P 0.000 0.000 0.500
S 0.500 0.000 0.000
S 0.000 0.500 0.000
I 0.500 0.500 0.500

2.
NpHgBi | PBE-GGA | relaxed

## Properties
Calculated volume = 81 Å³ per cell
DOS(E_F) = 2.37 states/eV per atom
M_tot = 4.55 Bohr magnetons per cell
Energy relative to the lowest polymorph listed for this composition = 88 meV/atom

Cell: 3.192 5.418 5.418 Å, 120.00 90.00 90.00°
Element x y z (fractional)
Hg 0.162 0.000 0.000
Bi 0.170 0.667 0.333
Np 0.668 0.333 0.667

3.
K2HfRu3O12 | PBE-GGA | relaxed

## Properties
Calculated volume = 277 Å³ per cell
Formation energy (no corrections) = -133 kJ/mol of atoms
DOS(E_F) = 0.53 states/eV per atom
M_tot = 3.20 Bohr magnetons per cell

Cell: 7.388 7.388 7.388 Å, 58.75 58.75 58.75°
Element x y z (fractional)
O 0.071 0.071 0.665
O 0.691 0.691 0.073
O 0.071 0.665 0.071
O 0.927 0.309 0.309
O 0.073 0.691 0.691
O 0.309 0.309 0.927
O 0.929 0.929 0.335
O 0.309 0.927 0.309
O 0.335 0.929 0.929
O 0.665 0.071 0.071
O 0.691 0.073 0.691
O 0.929 0.335 0.929
Hf 0.000 0.000 0.000
Ru 0.000 0.500 0.000
Ru 0.500 0.000 0.000
Ru 0.000 0.000 0.500
K 0.623 0.623 0.623
K 0.377 0.377 0.377

4.
BiSbI2O | PBE-GGA | relaxed

## Properties
Calculated volume = 132 Å³ per cell
Formation energy (no corrections) = 26 kJ/mol of atoms
DOS(E_F) = 0.59 states/eV per atom
M_tot = 0.00 Bohr magnetons per cell
Energy relative to the lowest polymorph listed for this composition = 384 meV/atom

Cell: 5.282 5.282 4.714 Å, 90.00 90.00 90.00°
Element x y z (fractional)
Sb 0.000 0.000 0.500
I 0.500 0.000 0.000
I 0.000 0.500 0.000
O 0.000 0.000 0.000
Bi 0.500 0.500 0.500

5.
Hf2HRu | PBE-GGA | relaxed

## Properties
Calculated volume = 60 Å³ per cell
DOS(E_F) = 0.66 states/eV per atom
M_tot = 0.00 Bohr magnetons per cell
Energy relative to the lowest polymorph listed for this composition = 233 meV/atom

Cell: 3.222 3.222 6.883 Å, 76.47 76.47 60.00°
Element x y z (fractional)
Hf 0.735 0.735 0.796
Hf 0.265 0.265 0.204
Ru 0.500 0.500 0.500
H 0.000 0.000 0.000

6.
Hf2Th | PBE-GGA | relaxed

## Properties
Calculated volume = 77 Å³ per cell
DOS(E_F) = 1.26 states/eV per atom
M_tot = 0.00 Bohr magnetons per cell
Energy relative to the lowest polymorph listed for this composition = 0 meV/atom

Cell: 3.289 3.289 7.477 Å, 102.71 102.71 90.00°
Element x y z (fractional)
Hf 0.322 0.322 0.645
Hf 0.678 0.678 0.355
Th 0.000 0.000 0.000

7.
CeZrZnPb | PBE-GGA | relaxed

## Properties
Calculated volume = 97 Å³ per cell
Total DFT energy (no corrections) = -5.001 eV per atom
DOS(E_F) = 2.06 states/eV per atom
M_tot = 1.88 Bohr magnetons per cell

Cell: 5.164 5.164 5.164 Å, 60.00 60.00 60.00°
Element x y z (fractional)
Pb 0.500 0.500 0.500
Ce 0.250 0.250 0.250
Zr 0.750 0.750 0.750
Zn 0.000 0.000 0.000

8.
SrCu3Se | PBE-GGA | relaxed

## Properties
Calculated volume = 145 Å³ per cell
Formation energy (no corrections) = 138 kJ/mol of atoms
DOS(E_F) = 0.95 states/eV per atom
M_tot = 0.00 Bohr magnetons per cell
Energy relative to the lowest polymorph listed for this composition = 1244 meV/atom

Cell: 5.249 5.249 5.249 Å, 90.00 90.00 90.00°
Element x y z (fractional)
Sr 0.000 0.000 0.000
Cu 0.500 0.000 0.000
Cu 0.000 0.500 0.000
Cu 0.000 0.000 0.500
Se 0.500 0.500 0.500

9.
Zn2SnGeN4 | PBE-GGA | relaxed

## Properties
Calculated volume = 204 Å³ per cell
Formation energy (no corrections) = -6 kJ/mol of atoms
M_tot = 0.00 Bohr magnetons per cell

Cell: 5.400 5.769 6.558 Å, 90.00 90.00 90.00°
Element x y z (fractional)
N 0.349 0.174 0.500
N 0.883 0.329 0.266
N 0.387 0.139 0.000
N 0.383 0.671 0.766
N 0.383 0.671 0.234
N 0.849 0.826 0.000
N 0.883 0.329 0.734
N 0.887 0.861 0.500
Sn 0.999 0.159 0.000
Sn 0.499 0.841 0.500
Zn 0.499 0.333 0.249
Zn 0.499 0.333 0.751
Zn 0.999 0.667 0.251
Zn 0.999 0.667 0.749
Ge 0.001 0.171 0.500
Ge 0.501 0.829 0.000

10.
AcDyGaN3 | PBE-GGA | relaxed

## Properties
Calculated volume = 205 Å³ per cell
Formation energy (no corrections) = -92 kJ/mol of atoms
M_tot = 0.00 Bohr magnetons per cell

Cell: 3.542 7.593 7.755 Å, 100.45 90.00 90.00°
Element x y z (fractional)
N 0.250 0.583 0.855
N 0.750 0.417 0.145
N 0.750 0.866 0.139
N 0.750 0.163 0.507
N 0.250 0.134 0.861
N 0.250 0.837 0.493
Dy 0.750 0.357 0.848
Dy 0.250 0.643 0.152
Ga 0.750 0.901 0.389
Ga 0.250 0.099 0.611
Ac 0.750 0.812 0.802
Ac 0.250 0.188 0.198

11.
Sc2TaPb | PBE-GGA | relaxed

## Properties
Calculated volume = 86 Å³ per cell
Total DFT energy (no corrections) = -7.027 eV per atom
DOS(E_F) = 1.28 states/eV per atom
M_tot = 0.00 Bohr magnetons per cell

Cell: 4.182 4.543 4.543 Å, 90.00 90.00 90.00°
Element x y z (fractional)
Pb 0.500 0.000 0.500
Sc 0.000 0.000 0.000
Sc 0.000 0.500 0.500
Ta 0.500 0.500 0.000

12.
DyYZn | PBE-GGA | relaxed

## Properties
Calculated volume = 79 Å³ per cell
DOS(E_F) = 1.07 states/eV per atom
M_tot = 0.00 Bohr magnetons per cell
Energy relative to the lowest polymorph listed for this composition = 166 meV/atom

Cell: 3.664 4.990 4.990 Å, 120.00 90.00 90.00°
Element x y z (fractional)
Zn 0.322 0.333 0.667
Y 0.608 0.667 0.333
Dy 0.069 0.000 0.000

13.
SmErPt | PBE-GGA | relaxed

## Properties
Calculated volume = 79 Å³ per cell
DOS(E_F) = 0.92 states/eV per atom
M_tot = 0.00 Bohr magnetons per cell
Energy relative to the lowest polymorph listed for this composition = 238 meV/atom

Cell: 4.191 4.653 4.653 Å, 120.00 90.00 90.00°
Element x y z (fractional)
Sm 0.612 0.667 0.333
Pt 0.294 0.333 0.667
Er 0.094 0.000 0.000

14.
BaTiSeO2 | PBE-GGA | relaxed

## Properties
Calculated volume = 189 Å³ per cell
Formation energy (no corrections) = -225 kJ/mol of atoms
DOS(E_F) = 0.04 states/eV per atom
M_tot = 0.00 Bohr magnetons per cell

Cell: 3.919 6.684 7.526 Å, 90.00 90.00 107.05°
Element x y z (fractional)
Se 0.544 0.087 0.250
Se 0.456 0.913 0.750
Ti 0.000 0.000 0.500
Ti 0.000 0.000 0.000
O 0.141 0.281 0.957
O 0.859 0.719 0.457
O 0.141 0.281 0.543
O 0.859 0.719 0.043
Ba 0.725 0.451 0.750
Ba 0.275 0.549 0.250

15.
La4Nd10Sm | PBE-GGA | relaxed

## Properties
Calculated volume = 550 Å³ per cell
Total DFT energy (no corrections) = -4.590 eV per atom
DOS(E_F) = 1.41 states/eV per atom
M_tot = 0.00 Bohr magnetons per cell

Cell: 8.074 9.187 9.187 Å, 78.87 63.93 63.93°
Element x y z (fractional)
Nd 0.081 0.210 0.210
Nd 0.919 0.790 0.790
Nd 0.499 0.210 0.210
Nd 0.709 0.210 0.790
Nd 0.501 0.790 0.790
Nd 0.750 0.500 0.500
Nd 0.291 0.790 0.210
Nd 0.709 0.790 0.210
Nd 0.250 0.500 0.500
Nd 0.291 0.210 0.790
La 0.227 0.000 0.547
La 0.773 0.000 0.453
La 0.227 0.547 0.000
La 0.773 0.453 0.000
Sm 0.000 0.000 0.000

16.
PmZr4Sc8 | PBE-GGA | relaxed

## Properties
Calculated volume = 342 Å³ per cell
Total DFT energy (no corrections) = -6.642 eV per atom
DOS(E_F) = 1.67 states/eV per atom
M_tot = 0.00 Bohr magnetons per cell

Cell: 6.406 6.397 12.144 Å, 89.96 121.85 120.00°
Element x y z (fractional)
Zr 0.000 0.500 0.000
Zr 0.500 0.000 0.000
Zr 0.000 0.000 0.000
Zr 0.500 0.500 0.000
Sc 0.218 0.856 0.287
Sc 0.287 0.144 0.713
Sc 0.369 0.685 0.777
Sc 0.631 0.315 0.223
Sc 0.217 0.361 0.287
Sc 0.713 0.856 0.287
Sc 0.782 0.144 0.713
Sc 0.783 0.639 0.713
Pm 0.000 0.500 0.500

17.
TeRu4Se | PBE-GGA | relaxed

## Properties
Calculated volume = 102 Å³ per cell
Formation energy (no corrections) = 80 kJ/mol of atoms
DOS(E_F) = 1.73 states/eV per atom
M_tot = 0.00 Bohr magnetons per cell

Cell: 5.246 5.246 5.246 Å, 60.00 60.00 60.00°
Element x y z (fractional)
Ru 0.375 0.375 0.874
Ru 0.375 0.375 0.375
Ru 0.375 0.874 0.375
Ru 0.874 0.375 0.375
Te 0.000 0.000 0.000
Se 0.750 0.750 0.750

18.
K3CdIn | PBE-GGA | relaxed

## Properties
Calculated volume = 413 Å³ per cell
DOS(E_F) = 0.55 states/eV per atom
M_tot = 0.00 Bohr magnetons per cell
Energy relative to the lowest polymorph listed for this composition = 0 meV/atom

Cell: 6.186 6.677 11.282 Å, 90.00 90.00 117.60°
Element x y z (fractional)
Cd 0.176 0.000 0.000
Cd 0.176 0.000 0.500
K 0.488 0.623 0.416
K 0.488 0.623 0.084
K 0.865 0.377 0.584
K 0.865 0.377 0.916
K 0.782 0.213 0.250
K 0.570 0.787 0.750
In 0.249 0.147 0.750
In 0.103 0.853 0.250

19.
ErPd14Au | PBE-GGA | relaxed

## Properties
Calculated volume = 257 Å³ per cell
Total DFT energy (no corrections) = -5.257 eV per atom
DOS(E_F) = 2.00 states/eV per atom
M_tot = 0.00 Bohr magnetons per cell

Cell: 5.646 5.646 8.050 Å, 90.00 90.00 89.99°
Element x y z (fractional)
Pd 0.875 0.375 0.500
Pd 0.126 0.126 0.245
Pd 0.875 0.875 0.000
Pd 0.126 0.624 0.755
Pd 0.375 0.875 0.500
Pd 0.126 0.624 0.245
Pd 0.624 0.624 0.755
Pd 0.375 0.375 0.000
Pd 0.624 0.126 0.755
Pd 0.375 0.875 0.000
Pd 0.624 0.126 0.245
Pd 0.126 0.126 0.755
Pd 0.624 0.624 0.245
Pd 0.875 0.375 0.000
Au 0.375 0.375 0.500
Er 0.875 0.875 0.500

20.
CeSmTlGa | PBE-GGA | relaxed

## Properties
Calculated volume = 105 Å³ per cell
DOS(E_F) = 1.66 states/eV per atom
M_tot = 0.89 Bohr magnetons per cell
Energy relative to the lowest polymorph listed for this composition = 0 meV/atom

Cell: 3.466 3.466 8.710 Å, 90.00 90.00 90.00°
Element x y z (fractional)
Tl 0.500 0.500 0.107
Sm 0.000 0.000 0.379
Ce 0.000 0.000 0.836
Ga 0.500 0.500 0.606

21.
PrCu8Au3 | PBE-GGA | relaxed

## Properties
Calculated volume = 181 Å³ per cell
Total DFT energy (no corrections) = -4.056 eV per atom
DOS(E_F) = 0.44 states/eV per atom
M_tot = 0.00 Bohr magnetons per cell

Cell: 5.030 5.030 8.240 Å, 90.00 90.00 120.00°
Element x y z (fractional)
Cu 0.502 0.004 0.763
Cu 0.996 0.498 0.763
Cu 0.668 0.834 0.241
Cu 0.166 0.834 0.241
Cu 0.333 0.667 0.999
Cu 0.502 0.498 0.763
Cu 0.333 0.667 0.498
Cu 0.166 0.332 0.241
Au 0.000 0.000 0.946
Au 0.667 0.333 0.421
Au 0.667 0.333 0.060
Pr 0.000 0.000 0.564

22.
NaHW3 | PBE-GGA | relaxed

## Properties
Calculated volume = 92 Å³ per cell
DOS(E_F) = 0.70 states/eV per atom
M_tot = 0.00 Bohr magnetons per cell
Energy relative to the lowest polymorph listed for this composition = 2890 meV/atom

Cell: 4.522 4.522 4.522 Å, 90.00 90.00 90.00°
Element x y z (fractional)
W 0.000 0.500 0.000
W 0.500 0.000 0.000
W 0.000 0.000 0.500
H 0.500 0.500 0.500
Na 0.000 0.000 0.000

23.
PSe2S4 | PBE-GGA | relaxed

## Properties
Calculated volume = 151 Å³ per cell
Formation energy (no corrections) = 20 kJ/mol of atoms
DOS(E_F) = 0.33 states/eV per atom
M_tot = 0.00 Bohr magnetons per cell
Energy relative to the lowest polymorph listed for this composition = 110 meV/atom

Cell: 7.288 7.288 5.881 Å, 128.29 128.29 90.00°
Element x y z (fractional)
Se 0.750 0.250 0.500
Se 0.250 0.750 0.500
S 0.877 0.543 0.420
S 0.543 0.877 0.420
S 0.123 0.123 0.580
S 0.457 0.457 0.580
P 0.500 0.500 0.000

24.
RePtI2 | PBE-GGA | relaxed

## Properties
Calculated volume = 223 Å³ per cell
Formation energy (no corrections) = 107 kJ/mol of atoms
DOS(E_F) = 1.09 states/eV per atom
M_tot = 0.00 Bohr magnetons per cell
Energy relative to the lowest polymorph listed for this composition = 0 meV/atom

Cell: 6.111 6.111 7.365 Å, 65.49 65.49 90.00°
Element x y z (fractional)
I 0.375 0.386 0.750
I 0.614 0.125 0.250
I 0.875 0.864 0.750
I 0.136 0.625 0.250
Pt 0.000 0.000 0.000
Pt 0.750 0.250 0.500
Re 0.500 0.500 0.000
Re 0.250 0.750 0.500